Crystalline Dy2Al5Rh at its relaxed geometry, computed with GGA-PBE.

Cell lengths 6.012, 6.012, 6.012 Å; angles 117.36, 117.36, 94.64 degrees
Element x y z (fractional)
Dy: 0.000 0.500 0.500
Dy: 0.500 0.000 0.500
Al: 0.016 0.016 0.000
Al: 0.535 0.535 0.562
Al: 0.535 0.973 0.000
Al: 0.973 0.535 0.000
Al: 0.973 0.973 0.438
Rh: 0.316 0.316 0.000

Calculated values
- Crystal system: tetragonal
- Magnetic moment: 0.00 μB/f.u.
- E: -4.854 eV per atom
- Formation enthalpy at 0 K: -0.445 eV/atom